[1]
The following is a DFT calculation (PBE-GGA) of crystalline HoTm2Ga6 at its relaxed geometry.

Cell: 7.448 7.448 3.756 Å, 90.00 90.00 120.00°
Element x y z (fractional)
Ho1 0.000 0.000 0.000
Tm1 0.333 0.667 0.000
Tm2 0.667 0.333 0.000
Ga1 0.000 0.334 0.500
Ga2 0.000 0.666 0.500
Ga3 0.334 0.000 0.500
Ga4 0.334 0.334 0.500
Ga5 0.666 0.000 0.500
Ga6 0.666 0.666 0.500

Output
The value obtained for the formation energy is -0.6018 eV per atom. Its space-group type is P6/mmm (191). The value obtained for the density is 8.5 Mg/m³. The distance to the lowest polymorph of the same formula is 0 meV per atom.

***

[2]
The following is a DFT calculation (PBE-GGA) of crystalline Ho2Tm6Ga at its relaxed geometry.

Cell: 9.631 9.631 3.472 Å, 90.00 90.00 123.88°
Element x y z (fractional)
Ho1 0.180 0.820 0.000
Ho2 0.820 0.180 0.000
Tm1 0.165 0.488 0.500
Tm2 0.213 0.213 0.000
Tm3 0.488 0.165 0.500
Tm4 0.512 0.835 0.500
Tm5 0.787 0.787 0.000
Tm6 0.835 0.512 0.500
Ga1 0.500 0.500 0.500

Output
The value obtained for the formation energy is 0.0197 eV per atom. Its space-group type is Cmmm (65). The value obtained for the density is 8.8 Mg/m³.

***

[3]
The following is a DFT calculation (PBE-GGA) of crystalline Ho2TmGa at its relaxed geometry.

Cell: 3.491 3.491 8.838 Å, 90.00 90.00 90.00°
Element x y z (fractional)
Ho1 0.000 0.000 0.211
Ho2 0.000 0.000 0.789
Tm1 0.500 0.500 0.500
Ga1 0.500 0.500 0.000

Output
The value obtained for the formation energy is -0.2743 eV per atom. Its space-group type is P4/mmm (123). The value obtained for the density is 8.8 Mg/m³. The distance to the lowest polymorph of the same formula is 8 meV per atom.

***

[4]
The following is a DFT calculation (PBE-GGA) of crystalline Ho5TmGa6 at its relaxed geometry.

Cell: 7.937 7.937 7.086 Å, 90.00 90.00 143.13°
Element x y z (fractional)
Ho1 0.000 0.000 0.000
Ho2 0.333 0.667 0.000
Ho3 0.334 0.666 0.500
Ho4 0.666 0.334 0.500
Ho5 0.667 0.333 0.000
Tm1 0.000 0.000 0.500
Ga1 0.166 0.834 0.251
Ga2 0.166 0.834 0.749
Ga3 0.500 0.500 0.251
Ga4 0.500 0.500 0.749
Ga5 0.834 0.166 0.251
Ga6 0.834 0.166 0.749

Output
The value obtained for the formation energy is -0.5782 eV per atom. Its space-group type is Cmmm (65). The value obtained for the density is 8.8 Mg/m³.

***

[5]
The following is a DFT calculation (PBE-GGA) of crystalline Ho3TmGa3 at its relaxed geometry.

Cell: 9.022 9.022 4.794 Å, 90.00 90.00 120.00°
Element x y z (fractional)
Ho1 0.012 0.760 0.250
Ho2 0.240 0.252 0.250
Ho3 0.252 0.012 0.750
Ho4 0.748 0.988 0.250
Ho5 0.760 0.748 0.750
Ho6 0.988 0.240 0.750
Tm1 0.333 0.667 0.750
Tm2 0.667 0.333 0.250
Ga1 0.059 0.450 0.250
Ga2 0.391 0.941 0.250
Ga3 0.450 0.391 0.750
Ga4 0.550 0.609 0.250
Ga5 0.609 0.059 0.750
Ga6 0.941 0.550 0.750

Output
The value obtained for the formation energy is -0.4073 eV per atom. Its space-group type is P6_3/m (176). The value obtained for the density is 8.6 Mg/m³.

***

[6]
The following is a DFT calculation (PBE-GGA) of crystalline Ho2TmGa6 at its relaxed geometry.

Cell: 7.823 7.823 7.823 Å, 148.30 127.64 62.51°
Element x y z (fractional)
Ho1 0.125 0.125 0.000
Ho2 0.875 0.875 0.000
Tm1 0.500 0.000 0.500
Ga1 0.122 0.315 0.808
Ga2 0.193 0.500 0.693
Ga3 0.493 0.685 0.808
Ga4 0.507 0.315 0.192
Ga5 0.807 0.500 0.307
Ga6 0.878 0.685 0.192

Output
The value obtained for the formation energy is -0.4486 eV per atom. Its space-group type is Immm (71). The value obtained for the density is 7.7 Mg/m³. The distance to the lowest polymorph of the same formula is 164 meV per atom.

***

[7]
The following is a DFT calculation (PBE-GGA) of crystalline Ho2TmGa at its relaxed geometry.

Cell: 5.277 5.277 5.277 Å, 60.00 60.00 60.00°
Element x y z (fractional)
Ho1 0.250 0.250 0.250
Ho2 0.750 0.750 0.750
Tm1 0.000 0.000 0.000
Ga1 0.500 0.500 0.500

Output
The value obtained for the formation energy is -0.0852 eV per atom. Its space-group type is Fm-3m (225). The value obtained for the density is 9.1 Mg/m³. The distance to the lowest polymorph of the same formula is 197 meV per atom.

***

[8]
The following is a DFT calculation (PBE-GGA) of crystalline HoTm4Ga15 at its relaxed geometry.

Cell: 4.248 4.248 21.143 Å, 90.00 90.00 90.00°
Element x y z (fractional)
Ho1 0.000 0.000 0.000
Tm1 0.000 0.000 0.201
Tm2 0.000 0.000 0.400
Tm3 0.000 0.000 0.600
Tm4 0.000 0.000 0.799
Ga1 0.000 0.500 0.101
Ga2 0.000 0.500 0.300
Ga3 0.000 0.500 0.500
Ga4 0.000 0.500 0.700
Ga5 0.000 0.500 0.899
Ga6 0.500 0.000 0.101
Ga7 0.500 0.000 0.300
Ga8 0.500 0.000 0.500
Ga9 0.500 0.000 0.700
Ga10 0.500 0.000 0.899
Ga11 0.500 0.500 0.000
Ga12 0.500 0.500 0.200
Ga13 0.500 0.500 0.400
Ga14 0.500 0.500 0.600
Ga15 0.500 0.500 0.800

Output
The value obtained for the formation energy is -0.5211 eV per atom. Its space-group type is P4/mmm (123). The value obtained for the density is 8.2 Mg/m³.